Run P
VASP calculation (PBE-GGA) on a geometry-optimized Sc3TiAs structure.

a b c (Å): 5.022 5.022 5.022
angles (deg): 90.00 90.00 90.00
Atoms (fractional coordinates):
1 As 0.000 0.000 0.000
2 Sc 0.500 0.000 0.000
3 Sc 0.000 0.000 0.500
4 Sc 0.000 0.500 0.000
5 Ti 0.500 0.500 0.500

Results
Its crystal system is cubic.

Run Q
VASP calculation (PBE-GGA) on a geometry-optimized Sc3TiAs structure.

a b c (Å): 4.921 4.921 4.921
angles (deg): 90.00 90.00 90.00
Atoms (fractional coordinates):
1 Sc 0.000 0.500 0.000
2 Sc 0.500 0.000 0.000
3 Sc 0.000 0.000 0.500
4 Ti 0.000 0.000 0.000
5 As 0.500 0.500 0.500

Results
Its crystal system is cubic.

So which one wins? Going from most stable to least: run P, run Q.

Run P
VASP calculation (PBE-GGA) on a geometry-optimized ScTiAs3 structure.

a b c (Å): 4.997 4.997 4.997
angles (deg): 90.00 90.00 90.00
Each line ends with the local moment (μB).
Atoms (fractional coordinates):
1 As 0.000 0.000 0.500  0.01
2 As 0.500 0.000 0.000  0.04
3 As 0.000 0.500 0.000  0.02
4 Ti 0.500 0.500 0.500  -0.29
5 Sc 0.000 0.000 0.000  0.01

Results
Its crystal system is cubic.

Run Q
VASP calculation (PBE-GGA) on a geometry-optimized ScTiAs3 structure.

a b c (Å): 4.852 4.852 4.852
angles (deg): 90.00 90.00 90.00
Atoms (fractional coordinates):
1 Sc 0.500 0.500 0.500
2 Ti 0.000 0.000 0.000
3 As 0.000 0.500 0.000
4 As 0.000 0.000 0.500
5 As 0.500 0.000 0.000

Results
Its crystal system is cubic.

So which one wins? Going from most stable to least: run Q, run P.

Run P
VASP calculation (PBE-GGA) on a geometry-optimized Sc3TlAs structure.

a b c (Å): 5.290 5.290 5.290
angles (deg): 90.00 90.00 90.00
Atoms (fractional coordinates):
1 As 0.500 0.500 0.500
2 Sc 0.000 0.500 0.000
3 Sc 0.500 0.000 0.000
4 Sc 0.000 0.000 0.500
5 Tl 0.000 0.000 0.000

Results
Its crystal system is cubic.

Run Q
VASP calculation (PBE-GGA) on a geometry-optimized Sc3TlAs structure.

a b c (Å): 5.021 5.021 5.021
angles (deg): 90.00 90.00 90.00
Atoms (fractional coordinates):
1 Sc 0.000 0.000 0.500
2 Sc 0.500 0.000 0.000
3 Sc 0.000 0.500 0.000
4 Tl 0.500 0.500 0.500
5 As 0.000 0.000 0.000

Results
Its crystal system is cubic.

So which one wins? Going from most stable to least: run Q, run P.

Run P
VASP calculation (PBE-GGA) on a geometry-optimized ScTl2As2 structure.

a b c (Å): 4.093 4.093 8.362
angles (deg): 75.83 75.83 90.00
Atoms (fractional coordinates):
1 As 0.422 0.422 0.156
2 As 0.578 0.578 0.844
3 Tl 0.250 0.750 0.500
4 Tl 0.750 0.250 0.500
5 Sc 0.000 0.000 0.000

Results
Its crystal system is tetragonal.

Run Q
VASP calculation (PBE-GGA) on a geometry-optimized ScTl2As2 structure.

a b c (Å): 6.932 6.932 5.416
angles (deg): 90.00 90.00 90.00
Atoms (fractional coordinates):
1 As 0.874 0.626 0.000
2 As 0.626 0.126 0.000
3 As 0.374 0.874 0.000
4 As 0.126 0.374 0.000
5 Tl 0.193 0.693 0.500
6 Tl 0.307 0.193 0.500
7 Tl 0.693 0.807 0.500
8 Tl 0.807 0.307 0.500
9 Sc 0.000 0.000 0.000
10 Sc 0.500 0.500 0.000

Results
Its crystal system is tetragonal.

So which one wins? Going from most stable to least: run Q, run P.